[1]
Density functional theory data (PBE) for a relaxed structure of Zr2GaF.

Calculated values
The calculation puts the energy at -6.3345 eV/atom.

Cell lengths 3.725, 3.725, 5.186 Å; angles 90.00, 90.00, 90.00 degrees
Space group P4/mmm (No. 123)
One atom of each set of equivalent atoms:
Zr: 0.000 0.000 0.000
Zr: 0.500 0.500 0.500
Ga: 0.000 0.000 0.500
F: 0.500 0.500 0.000



[2]
Density functional theory data (PBE) for a relaxed structure of GdF.

Calculated values
The calculation puts the energy at -5.3122 eV/atom.

Cell lengths 5.059, 5.059, 5.059 Å; angles 90.00, 90.00, 90.00 degrees
Space group Fm-3m (No. 225)
One atom of each set of equivalent atoms:
Gd: 0.000 0.000 0.000
F: 0.000 0.000 0.500



[3]
Density functional theory data (PBE) for a relaxed structure of GdF2.

Calculated values
The calculation puts the energy at -6.0409 eV/atom.

Cell lengths 3.4204, 3.4204, 13.1179 Å; angles 90.00, 90.00, 120.00 degrees
Space group R3m (No. 160, hexagonal axes)
One atom of each set of equivalent atoms:
Gd: 0.0000 0.0000 0.0000
F: 0.0000 0.0000 0.5702
F: 0.0000 0.0000 0.7672



[4]
Density functional theory data (PBE) for a relaxed structure of GdF2.

Calculated values
The calculation puts the energy at -5.9654 eV/atom.

Cell lengths 3.107, 3.107, 7.380 Å; angles 90.00, 90.00, 90.00 degrees
Space group I4/mmm (No. 139)
One atom of each set of equivalent atoms:
Gd: 0.000 0.000 0.000
F: 0.000 0.000 0.338



[5]
Density functional theory data (PBE) for a relaxed structure of GdF.

Calculated values
The calculation puts the energy at -5.4993 eV/atom.

Cell lengths 3.7931, 3.7931, 5.4104 Å; angles 90.00, 90.00, 120.00 degrees
Space group P6_3/mmc (No. 194)
One atom of each set of equivalent atoms:
Gd: 0.3333 0.6667 0.2500
F: 0.0000 0.0000 0.0000



[6]
Density functional theory data (PBE) for a relaxed structure of GdF.

Calculated values
The calculation puts the energy at -5.2802 eV/atom.

Cell lengths 3.2636, 3.2636, 3.7328 Å; angles 90.00, 90.00, 120.00 degrees
Space group P-6m2 (No. 187)
One atom of each set of equivalent atoms:
Gd: 0.0000 0.0000 0.0000
F: 0.3333 0.6667 0.5000



[7]
Density functional theory data (PBE) for a relaxed structure of GdF2.

Calculated values
The calculation puts the energy at -5.8137 eV/atom.

Cell lengths 9.667, 9.667, 9.667 Å; angles 90.00, 90.00, 90.00 degrees
Space group Fd-3m (No. 227, origin choice 2)
One atom of each set of equivalent atoms:
Gd: 0.125 0.125 0.125
F: 0.000 0.000 0.000



[8]
Density functional theory data (PBE) for a relaxed structure of GdF4.

Calculated values
The calculation puts the energy at -5.5371 eV/atom.

Cell lengths 6.207, 10.424, 4.672 Å; angles 90.00, 101.99, 90.00 degrees
Space group C2/m (No. 12)
One atom of each set of equivalent atoms:
Gd: 0.000 0.171 0.000
F: 0.090 0.500 0.423
F: 0.110 0.000 0.790
F: 0.174 0.287 0.733



[9]
Density functional theory data (PBE) for a relaxed structure of GdF2.

Calculated values
The calculation puts the energy at -6.0488 eV/atom.

Cell lengths 5.032, 5.032, 3.947 Å; angles 90.00, 90.00, 90.00 degrees
Space group P4_2/mnm (No. 136)
One atom of each set of equivalent atoms:
Gd: 0.000 0.000 0.000
F: 0.182 0.182 0.500



[10]
Density functional theory data (PBE) for a relaxed structure of GdF2.

Calculated values
The calculation puts the energy at -6.0130 eV/atom.

Cell lengths 4.143, 4.850, 7.716 Å; angles 90.00, 90.00, 90.00 degrees
Space group P2_12_12_1 (No. 19)
One atom of each set of equivalent atoms:
Gd: 0.118 0.057 0.110
F: 0.101 0.561 0.051
F: 0.113 0.204 0.817



[11]
Density functional theory data (PBE) for a relaxed structure of GdF.

Calculated values
The calculation puts the energy at -5.5351 eV/atom.

Cell lengths 5.500, 5.500, 5.500 Å; angles 90.00, 90.00, 90.00 degrees
Space group F-43m (No. 216)
One atom of each set of equivalent atoms:
Gd: 0.000 0.000 0.000
F: 0.250 0.250 0.250



[12]
Density functional theory data (PBE) for a relaxed structure of GdF2.

Calculated values
The calculation puts the energy at -4.6121 eV/atom.

Cell lengths 6.680, 6.680, 6.680 Å; angles 90.00, 90.00, 90.00 degrees
Space group Fd-3m (No. 227, origin choice 2)
One atom of each set of equivalent atoms:
Gd: 0.125 0.125 0.125
F: 0.000 0.000 0.500



[13]
Density functional theory data (PBE) for a relaxed structure of Gd4GeF5.

Calculated values
The calculation puts the energy at -5.8835 eV/atom.

Cell lengths 14.351, 3.935, 7.056 Å; angles 90.00, 119.11, 90.00 degrees
Space group C2/m (No. 12)
One atom of each set of equivalent atoms:
Gd: 0.000 0.000 0.222
Gd: 0.223 0.500 0.723
Ge: 0.000 0.500 0.500
F: 0.000 0.500 0.000
F: 0.200 0.000 0.510
F: 0.200 0.000 0.889



[14]
Density functional theory data (PBE) for a relaxed structure of Gd13Ge6O31F.

Calculated values
The calculation puts the energy at -7.7322 eV/atom.

Cell lengths 15.8457, 15.8457, 9.5154 Å; angles 90.00, 90.00, 120.00 degrees
Space group R3 (No. 146, hexagonal axes)
One atom of each set of equivalent atoms:
Gd: 0.0000 0.0000 0.0000
Gd: 0.0774 0.8240 0.9458
Gd: 0.1437 0.1429 0.2934
Gd: 0.1499 0.0016 0.6474
Gd: 0.1572 0.4131 0.6542
Ge: 0.0208 0.2532 0.2932
Ge: 0.0999 0.6875 0.3091
O: 0.0000 0.0000 0.2536
O: 0.0077 0.7122 0.2615
O: 0.0282 0.1416 0.8730
O: 0.0466 0.3708 0.3439
O: 0.0546 0.1956 0.4218
O: 0.0580 0.5637 0.3578
O: 0.0781 0.2407 0.1410
O: 0.1542 0.1235 0.0652
O: 0.1574 0.3878 0.9123
O: 0.1713 0.7488 0.4590
O: 0.1934 0.7225 0.1833
F: 0.0000 0.0000 0.6350



[15]
Density functional theory data (PBE) for a relaxed structure of GdHoNF2.

Calculated values
The calculation puts the energy at -7.0646 eV/atom.

Cell lengths 3.4831, 3.4831, 6.6254 Å; angles 90.00, 90.00, 120.00 degrees
Space group P3m1 (No. 156)
One atom of each set of equivalent atoms:
Gd: 0.0000 0.0000 0.0000
Ho: 0.3333 0.6667 0.4004
N: 0.6667 0.3333 0.2091
F: 0.0000 0.0000 0.5737
F: 0.3333 0.6667 0.8111



[16]
Density functional theory data (PBE) for a relaxed structure of GdHoS2F2.

Calculated values
The calculation puts the energy at -6.5421 eV/atom.

Cell lengths 3.758, 3.758, 6.791 Å; angles 90.00, 90.00, 90.00 degrees
Space group P4mm (No. 99)
One atom of each set of equivalent atoms:
Gd: 0.000 0.000 0.000
Ho: 0.500 0.500 0.543
S: 0.000 0.000 0.417
S: 0.500 0.500 0.132
F: 0.000 0.500 0.770



[17]
Density functional theory data (PBE) for a relaxed structure of Gd2SbIF.

Calculated values
The calculation puts the energy at -5.1664 eV/atom.

Cell lengths 4.1312, 4.1312, 9.1825 Å; angles 90.00, 90.00, 120.00 degrees
Space group P3m1 (No. 156)
One atom of each set of equivalent atoms:
Gd: 0.0000 0.0000 0.0000
Gd: 0.3333 0.6667 0.4044
Sb: 0.6667 0.3333 0.1996
I: 0.3333 0.6667 0.7733
F: 0.0000 0.0000 0.4823



[18]
Density functional theory data (PBE) for a relaxed structure of K3GdF6.

Calculated values
The calculation puts the energy at -5.2249 eV/atom.

Cell lengths 6.160, 6.467, 10.562 Å; angles 90.00, 124.15, 90.00 degrees
Space group P2_1/c (No. 14)
One atom of each set of equivalent atoms:
K: 0.000 0.000 0.000
K: 0.224 0.062 0.745
Gd: 0.500 0.000 0.500
F: 0.155 0.178 0.445
F: 0.253 0.721 0.424
F: 0.397 0.064 0.268



[19]
Density functional theory data (PBE) for a relaxed structure of K5Li2GdF10.

Calculated values
The calculation puts the energy at -4.8996 eV/atom.

Cell lengths 19.708, 7.601, 6.706 Å; angles 90.00, 90.00, 90.00 degrees
Space group Pnma (No. 62)
One atom of each set of equivalent atoms:
K: 0.043 0.021 0.250
K: 0.135 0.750 0.560
K: 0.218 0.523 0.071
Li: 0.080 0.750 0.964
Li: 0.175 0.250 0.339
Gd: 0.108 0.250 0.757
F: 0.009 0.250 0.952
F: 0.016 0.250 0.541
F: 0.090 0.536 0.843
F: 0.128 0.750 0.189
F: 0.131 0.250 0.101
F: 0.147 0.074 0.497
F: 0.221 0.250 0.807
F: 0.236 0.750 0.789



[20]
Density functional theory data (PBE) for a relaxed structure of LaGdSbF2.

Calculated values
The calculation puts the energy at -6.0362 eV/atom.

Cell lengths 4.1682, 4.1682, 7.2076 Å; angles 90.00, 90.00, 120.00 degrees
Space group P3m1 (No. 156)
One atom of each set of equivalent atoms:
La: 0.0000 0.0000 0.0000
Gd: 0.6667 0.3333 0.4667
Sb: 0.3333 0.6667 0.7202
F: 0.0000 0.0000 0.3435
F: 0.6667 0.3333 0.1421